# PBE+U MnAl4O8, relaxed
data_MnAl4O8
_cell_length_a 5.7029
_cell_length_b 5.7029
_cell_length_c 14.3304
_cell_angle_alpha 90.00
_cell_angle_beta 90.00
_cell_angle_gamma 120.00
_space_group_name_H-M_alt 'R -3 m'
_space_group_IT_number 166
_space_group_name_Hall '-R 3 2"'
loop_
_atom_site_label
_atom_site_fract_x
_atom_site_fract_y
_atom_site_fract_z
Mn1 0.0000 0.0000 0.0000
Al1 0.0000 0.0000 0.5000
Al2 0.0000 0.5000 0.5000
O1 0.0000 0.0000 0.2304
O2 0.0102 0.5051 0.7632
# - Total energy: -7.152 eV/atom
# - Magnetization: 14.16 μB per cell